1.
Crystalline LiIn3I6 at its relaxed geometry. Source: Alexandria, functional PBE.

Geometry as extended XYZ:
```
20
Lattice="-2.6171 7.1247 -1.6988 -4.1644 0.2339 7.3964 9.1673 4.4818 5.0198" Properties=species:S:1:pos:R:3 pbc="T T T"
Li 1.1929 5.9202 5.3587
Li 0.0000 0.0000 0.0000
In 1.7443 7.4258 9.4473
In -3.3908 3.6793 2.8488
In 0.6415 4.4147 1.2700
In -0.3444 1.5558 5.6796
In 4.5836 2.2409 2.5099
In 2.7301 10.2846 5.0377
I 6.1478 9.1587 5.0635
I 2.4737 7.3669 2.9382
I -1.3181 5.5713 3.8259
I 3.7038 6.2692 6.8914
I -0.0879 4.4736 7.7791
I -3.7621 2.6818 5.6539
I 2.4067 3.3816 4.2307
I -1.3642 1.5952 2.2773
I 6.5452 4.1391 3.6843
I -4.1595 7.7014 7.0330
I 3.7500 10.2453 8.4400
I -0.0210 8.4589 6.4866
```

## Properties
final energy = -0.093 hartree per atom
magnetization = 0.0 μB/f.u.



2.
Crystalline LiInI2 at its relaxed geometry. Source: Alexandria, functional PBE.

Geometry as extended XYZ:
```
4
Lattice="4.0141 0.0000 0.0000 0.0000 4.0141 0.0000 0.0000 0.0000 8.2774" Properties=species:S:1:pos:R:3 pbc="T T T"
I 0.0000 0.0000 6.3793
I 0.0000 0.0000 1.8981
Li 2.0071 2.0071 0.0000
In 2.0071 2.0071 4.1387
```

## Properties
final energy = -0.095 hartree per atom
E above lowest polymorph = 175 meV per atom
magnetization = 0.0 μB/f.u.



3.
Crystalline LiInI2 at its relaxed geometry. Source: Alexandria, functional PBE.

Geometry as extended XYZ:
```
4
Lattice="-1.4248 -4.1628 -0.6838 0.6743 -3.1218 3.1025 -8.5317 -0.2494 4.7986" Properties=species:S:1:pos:R:3 pbc="T T T"
I -5.7828 -0.9726 3.4734
I -3.4994 -6.5614 3.7440
Li -4.6411 -3.7670 3.6087
In 0.0000 0.0000 0.0000
```

## Properties
final energy = -0.093 hartree per atom
E above lowest polymorph = 235 meV per atom
Fermi-level density of states = 0.008 states/eV/atom
magnetization = 0.0 μB/f.u.



4.
Crystalline LiInI2 at its relaxed geometry. Source: Alexandria, functional PBE.

Geometry as extended XYZ:
```
4
Lattice="-1.6468 -5.4820 -0.7080 -4.8441 -1.9001 2.4877 -4.6128 -1.2304 -3.2362" Properties=species:S:1:pos:R:3 pbc="T T T"
I -2.7759 -2.1531 -0.3641
I -8.3278 -6.4594 -1.0923
Li 0.0000 0.0000 0.0000
In -5.5519 -4.3063 -0.7282
```

## Properties
final energy = -0.094 hartree per atom
E above lowest polymorph = 195 meV per atom
Fermi-level density of states = 0.000 states/eV/atom
magnetization = 0.0 μB/f.u.



5.
Crystalline LiMnInI4 at its relaxed geometry. Source: Alexandria, functional PBE.

Geometry as extended XYZ:
```
14
Lattice="6.9052 0.0000 0.3520 0.0000 10.0539 0.0000 -2.2883 0.0000 8.6369" Properties=species:S:1:pos:R:3 pbc="T T T"
Li 4.2652 7.5405 2.8940
Li 0.3517 2.5135 6.0950
Mn 0.9605 7.5405 2.6072
Mn 3.6564 2.5135 6.3817
In 3.9472 7.5405 8.2795
In 0.6697 2.5135 0.7094
I -1.5306 4.5759 6.4403
I 6.1475 9.6028 2.5487
I 6.1475 5.4781 2.5487
I -1.5306 0.4511 6.4403
I 2.7122 7.5405 0.5308
I 1.9047 2.5135 8.4582
I 2.3706 7.5405 4.8624
I 2.2464 2.5135 4.1265
```

## Properties
final energy = -0.129 hartree per atom
Fermi-level density of states = 0.000 states/eV/atom
magnetization = 5.0 μB/f.u.



6.
Crystalline Li2MnInI6 at its relaxed geometry. Source: Alexandria, functional PBE.

Geometry as extended XYZ:
```
20
Lattice="7.8869 0.0592 0.0614 2.6002 10.3028 0.0372 2.6002 -0.3447 10.2971" Properties=species:S:1:pos:R:3 pbc="T T T"
Li 5.8076 6.4568 5.1342
Li 3.3363 5.0963 3.7223
Li 7.2797 3.5605 5.2614
Li 9.7511 4.9210 6.6733
Mn 4.5720 1.5447 8.5061
Mn 8.5154 8.4726 1.8895
In 4.5720 9.1814 1.1473
In 8.5154 0.8358 9.2484
I 5.8171 9.5124 8.3820
I 3.3268 1.9640 0.5484
I 7.2703 0.5048 2.0137
I 9.7606 8.0533 9.8472
I 6.5130 8.8761 3.6249
I 2.6309 6.6942 1.3606
I 6.5744 1.1411 6.7708
I 10.4565 3.3230 9.0351
I 11.0828 7.0988 5.7395
I 5.9481 4.5743 3.1197
I 2.0046 2.9184 4.6561
I 7.1393 5.4429 7.2760
```

## Properties
final energy = -0.117 hartree per atom
Fermi-level density of states = 0.221 states/eV/atom
magnetization = 4.0 μB/f.u.



7.
Crystalline LiMnIn2I at its relaxed geometry. Source: Alexandria, functional PBE.

Geometry as extended XYZ:
```
5
Lattice="5.8521 0.0000 0.0000 0.0000 5.8521 0.0000 0.0000 0.0000 5.4152" Properties=species:S:1:pos:R:3 pbc="T T T"
I 2.9260 2.9260 2.7076
Mn 0.0000 0.0000 2.7076
Li 0.0000 0.0000 0.0000
In 0.0000 2.9260 0.0000
In 2.9260 0.0000 0.0000
```

## Properties
final energy = -0.116 hartree per atom
Fermi-level density of states = 0.556 states/eV/atom
magnetization = 4.8 μB/f.u.



8.
Crystalline LiInIN2 at its relaxed geometry. Source: Alexandria, functional PBE.

Geometry as extended XYZ:
```
5
Lattice="4.2701 0.0000 0.0000 0.0000 4.2701 0.0000 0.0000 0.0000 6.8290" Properties=species:S:1:pos:R:3 pbc="T T T"
I 0.0000 0.0000 3.4145
N 0.0000 2.1350 0.0000
N 2.1350 0.0000 0.0000
Li 2.1350 2.1350 3.4145
In 0.0000 0.0000 0.0000
```

## Properties
final energy = -0.135 hartree per atom
E above lowest polymorph = 0 meV per atom
Fermi-level density of states = 0.470 states/eV/atom
magnetization = 3.0 μB/f.u.